Entry 1:
## RbPrHg2 (PBE)

Data for a relaxed RbPrHg2 crystal.

abc: 3.9627 3.9627 8.7288
angles: 90.00 90.00 90.00
With the nearest neighbours (Å) after each atom.
Atoms (fractional coordinates):
Rb: 0.0000 0.0000 0.0000  8 Hg 3.84, 4 Rb 3.96
Pr: 0.0000 0.0000 0.5000  8 Hg 3.30
Hg: 0.5000 0.5000 0.3001  4 Pr 3.30, 1 Hg 3.49
Hg: 0.5000 0.5000 0.6999  4 Pr 3.30, 1 Hg 3.49

## Properties
Magnetization in μB/f.u.: 0.4
Final energy in eV per atom: -1.866
N(E_F) in states/eV/atom: 0.953
ρ in Mg/m³: 7.6
ΔH_f (0 K) in eV per atom: -0.28
Distance to the lowest polymorph of the same formula in eV/f.u.: 0.000

Entry 2:
## Ba3CrW (PBE)

Data for a relaxed Ba3CrW crystal.

abc: 6.0282 6.0282 6.0282
angles: 90.00 90.00 90.00
With the nearest neighbours (Å) after each atom.
Atoms (fractional coordinates):
Ba: 0.0000 0.0000 0.5000  2 W 3.01
Ba: 0.0000 0.5000 0.0000  2 W 3.01
Ba: 0.5000 0.0000 0.0000  2 W 3.01
Cr: 0.5000 0.5000 0.5000  12 Ba 4.26
W: 0.0000 0.0000 0.0000  6 Ba 3.01

## Properties
Magnetization in μB/f.u.: 5.2
Final energy in eV per atom: -4.385
N(E_F) in states/eV/atom: 0.634
ρ in Mg/m³: 4.9
ΔH_f (0 K) in eV per atom: 1.28
Distance to the lowest polymorph of the same formula in eV/f.u.: 0.000